Entry from Alexandria via LeMat-Bulk: an optimized crystal structure of PuScBe (PBE-GGA).

Lattice parameters (Å, degrees): 2.6524 2.6524 6.9650 100.98 100.98 90.00
Sites, in units of the cell vectors:
Sc: 0.0159 0.0159 0.0318
Be: 0.6666 0.6666 0.3331
Pu: 0.3175 0.3175 0.6350

- total magnetization (μB/f.u.) = 0.0
- energy relative to the elements (eV per atom) = 0.475
- SG = I4mm (107)
- calculated density (g/cm³) = 10.48
- total energy (eV/atom) = -7.655